# 1
Density functional theory data (PBE) for crystalline La2Er7Sc2 at its relaxed geometry.

## Properties
Total moment: 0.00 Bohr magnetons per cell
Calculated volume: 343 Å³/cell
DOS at the Fermi energy: 17.3 states/eV/cell
Electronic total energy: -4.780 eV/atom
SG: C2/m (12)
DFT formation energy: 0.1710 eV per atom

Unit cell a=5.969 b=8.559 c=8.558 alpha=83.53 beta=62.82 gamma=62.81
Atoms (fractional coordinates):
La  0.831  0.783  0.783
La  0.169  0.217  0.217
Er  0.167  0.062  0.590
Er  0.833  0.410  0.938
Er  0.833  0.938  0.410
Er  0.167  0.590  0.062
Er  0.000  0.000  0.000
Er  0.626  0.585  0.585
Er  0.374  0.415  0.415
Sc  0.500  0.768  0.232
Sc  0.500  0.232  0.768

***

# 2
Density functional theory data (PBE) for crystalline BaSmGe at its relaxed geometry.

## Properties
Total moment: 0.00 Bohr magnetons per cell
Calculated volume: 210 Å³/cell
DOS at the Fermi energy: 6.3 states/eV/cell
Electronic total energy: -4.042 eV/atom
SG: Amm2 (38)
DFT formation energy: -0.2889 eV per atom

Unit cell a=5.512 b=3.897 c=13.819 alpha=90.00 beta=90.00 gamma=135.01
Atoms (fractional coordinates):
Ge  0.693  0.386  0.000
Ge  0.196  0.391  0.500
Sm  0.696  0.391  0.394
Sm  0.696  0.391  0.606
Ba  0.193  0.387  0.148
Ba  0.193  0.387  0.852

***

# 3
Density functional theory data (PBE) for crystalline SmAl4Rh at its relaxed geometry.

## Properties
Total moment: 0.00 Bohr magnetons per cell
Calculated volume: 281 Å³/cell
DOS at the Fermi energy: 9.0 states/eV/cell
Electronic total energy: -4.594 eV/atom
SG: P4/mbm (127)
DFT formation energy: -0.0875 eV per atom

Unit cell a=6.325 b=6.325 c=7.018 alpha=90.00 beta=90.00 gamma=90.00
Atoms (fractional coordinates):
Sm  0.500  0.000  0.500
Sm  0.000  0.500  0.500
Al  0.660  0.160  0.000
Al  0.840  0.660  0.000
Al  0.160  0.340  0.000
Al  0.340  0.840  0.000
Al  0.000  0.000  0.331
Al  0.500  0.500  0.669
Al  0.000  0.000  0.669
Al  0.500  0.500  0.331
Rh  0.500  0.500  0.000
Rh  0.000  0.000  0.000

***

# 4
Density functional theory data (PBE) for crystalline FeSn3S at its relaxed geometry.

## Properties
Total moment: 0.00 Bohr magnetons per cell
Calculated volume: 120 Å³/cell
DOS at the Fermi energy: 0.0 states/eV/cell
Electronic total energy: -4.957 eV/atom
ΔE_f (raw): -0.04 eV per atom
SG: Pm-3m (221)

Unit cell a=4.932 b=4.932 c=4.932 alpha=90.00 beta=90.00 gamma=90.00
Atoms (fractional coordinates):
S  0.500  0.500  0.500
Sn  0.000  0.500  0.000
Sn  0.000  0.000  0.500
Sn  0.500  0.000  0.000
Fe  0.000  0.000  0.000

***

# 5
Density functional theory data (PBE) for crystalline Sn3HBr at its relaxed geometry.

## Properties
Total moment: 0.73 Bohr magnetons per cell
Calculated volume: 183 Å³/cell
DOS at the Fermi energy: 4.0 states/eV/cell
Electronic total energy: -2.322 eV/atom
SG: Pm-3m (221)

Unit cell a=5.675 b=5.675 c=5.675 alpha=90.00 beta=90.00 gamma=90.00
Atoms (fractional coordinates):
H  0.500  0.500  0.500
Sn  0.000  0.500  0.000
Sn  0.000  0.000  0.500
Sn  0.500  0.000  0.000
Br  0.000  0.000  0.000

***

# 6
Density functional theory data (PBE) for crystalline AlZnCd at its relaxed geometry.

## Properties
Total moment: 0.00 Bohr magnetons per cell
Calculated volume: 110 Å³/cell
DOS at the Fermi energy: 2.2 states/eV/cell
Electronic total energy: -1.879 eV/atom
SG: Amm2 (38)
DFT formation energy: 0.0979 eV per atom

Unit cell a=2.899 b=2.903 c=15.129 alpha=90.00 beta=90.00 gamma=119.96
Atoms (fractional coordinates):
Zn  0.449  0.899  0.000
Zn  0.440  0.880  0.500
Al  0.774  0.548  0.350
Al  0.774  0.548  0.650
Cd  0.115  0.230  0.829
Cd  0.115  0.230  0.171

***

# 7
Density functional theory data (PBE) for crystalline KRu2Rh at its relaxed geometry.

## Properties
Total moment: 0.00 Bohr magnetons per cell
Calculated volume: 82 Å³/cell
DOS at the Fermi energy: 4.9 states/eV/cell
Electronic total energy: -6.023 eV/atom
SG: Cm (8)
DFT formation energy: 0.7272 eV per atom

Unit cell a=4.547 b=4.547 c=6.910 alpha=85.81 beta=85.81 gamma=34.96
Atoms (fractional coordinates):
K  0.502  0.502  0.495
Rh  0.267  0.267  0.165
Ru  0.997  0.997  0.986
Ru  0.734  0.734  0.854

***

# 8
Density functional theory data (PBE) for crystalline NaZr2Sc2 at its relaxed geometry.

## Properties
Total moment: 0.00 Bohr magnetons per cell
Calculated volume: 255 Å³/cell
DOS at the Fermi energy: 10.1 states/eV/cell
Electronic total energy: -5.851 eV/atom
SG: P4/mbm (127)
DFT formation energy: 0.3651 eV per atom

Unit cell a=8.968 b=8.968 c=3.169 alpha=90.00 beta=90.00 gamma=90.00
Atoms (fractional coordinates):
Sc  0.381  0.881  0.000
Sc  0.881  0.619  0.000
Sc  0.619  0.119  0.000
Sc  0.119  0.381  0.000
Na  0.000  0.000  0.000
Na  0.500  0.500  0.000
Zr  0.174  0.674  0.500
Zr  0.674  0.826  0.500
Zr  0.826  0.326  0.500
Zr  0.326  0.174  0.500

***

# 9
Density functional theory data (PBE) for crystalline SrTlAu5 at its relaxed geometry.

## Properties
Total moment: 0.00 Bohr magnetons per cell
Calculated volume: 630 Å³/cell
DOS at the Fermi energy: 9.4 states/eV/cell
Electronic total energy: -3.269 eV/atom
SG: Pnma (62)
DFT formation energy: -0.3499 eV per atom

Unit cell a=5.703 b=9.454 c=11.689 alpha=90.00 beta=90.00 gamma=90.00
Atoms (fractional coordinates):
Sr  0.250  0.247  0.938
Sr  0.750  0.253  0.438
Sr  0.250  0.747  0.562
Sr  0.750  0.753  0.062
Tl  0.250  0.870  0.858
Tl  0.750  0.630  0.358
Tl  0.250  0.370  0.642
Tl  0.750  0.130  0.142
Au  0.250  0.584  0.019
Au  0.750  0.916  0.519
Au  0.250  0.084  0.481
Au  0.750  0.416  0.981
Au  0.750  0.324  0.750
Au  0.250  0.176  0.250
Au  0.750  0.824  0.750
Au  0.250  0.676  0.250
Au  0.250  0.934  0.093
Au  0.750  0.566  0.593
Au  0.250  0.434  0.407
Au  0.750  0.066  0.907
Au  0.995  0.421  0.190
Au  0.005  0.079  0.690
Au  0.505  0.921  0.310
Au  0.495  0.579  0.810
Au  0.005  0.579  0.810
Au  0.995  0.921  0.310
Au  0.495  0.079  0.690
Au  0.505  0.421  0.190

***

# 10
Density functional theory data (PBE) for crystalline LiH5Pd6 at its relaxed geometry.

## Properties
Total moment: 0.00 Bohr magnetons per cell
Calculated volume: 120 Å³/cell
DOS at the Fermi energy: 3.9 states/eV/cell
Electronic total energy: -4.217 eV/atom
SG: C2/m (12)

Unit cell a=5.202 b=5.320 c=5.385 alpha=60.40 beta=79.18 gamma=67.65
Atoms (fractional coordinates):
Li  0.000  0.000  0.000
H  0.500  0.125  0.750
H  0.000  0.304  0.393
H  0.500  0.500  0.000
H  0.000  0.696  0.607
H  0.500  0.875  0.250
Pd  0.745  0.079  0.393
Pd  0.255  0.528  0.393
Pd  0.308  0.282  0.000
Pd  0.692  0.718  0.000
Pd  0.745  0.472  0.607
Pd  0.255  0.921  0.607

***

# 11
Density functional theory data (PBE) for crystalline V12Si5H2 at its relaxed geometry.

## Properties
Total moment: 0.00 Bohr magnetons per cell
Calculated volume: 255 Å³/cell
DOS at the Fermi energy: 17.8 states/eV/cell
Electronic total energy: -7.546 eV/atom
SG: C2/m (12)

Unit cell a=6.390 b=6.988 c=6.675 alpha=103.86 beta=90.00 gamma=117.21
Atoms (fractional coordinates):
V  0.999  0.998  0.167
V  0.114  0.727  0.929
V  0.613  0.727  0.929
V  0.134  0.732  0.437
V  0.597  0.732  0.437
V  0.497  0.994  0.745
V  0.503  0.006  0.255
V  0.866  0.268  0.563
V  0.403  0.268  0.563
V  0.886  0.273  0.071
V  0.387  0.273  0.071
V  0.001  0.002  0.833
Si  0.281  0.563  0.647
Si  0.290  0.579  0.139
Si  0.000  0.000  0.500
Si  0.710  0.421  0.861
Si  0.719  0.437  0.353
H  0.647  0.000  0.000
H  0.353  0.000  0.000

***

# 12
Density functional theory data (PBE) for crystalline P2OsW at its relaxed geometry.

## Properties
Total moment: 0.60 Bohr magnetons per cell
Calculated volume: 56 Å³/cell
DOS at the Fermi energy: 3.8 states/eV/cell
Electronic total energy: -8.763 eV/atom
SG: P4mm (99)
DFT formation energy: -0.0124 eV per atom

Unit cell a=3.166 b=3.166 c=5.562 alpha=90.00 beta=90.00 gamma=90.00
Atoms (fractional coordinates):
Os  0.500  0.500  0.815
P  0.000  0.000  0.985
P  0.500  0.500  0.260
W  0.000  0.000  0.440

***

Q: DOS at the Fermi energy of number 12 (P2OsW)?
A: 3.8 states/eV/cell

***

Q: Which value of DOS at the Fermi energy does entry 2 give?
A: 6.3 states/eV/cell

***

Q: What is the electronic total energy in the twelfth record?
A: -8.763 eV/atom